Entry from Alexandria via LeMat-Bulk: a geometry-optimized ScNiPb2 structure (PBE).

Calculated values
crystal system = cubic
calculated volume = 92 Å³/cell

a b c (Å): 5.063 5.063 5.063
angles (deg): 60.00 60.00 60.00
Fractional positions:
Sc1 0.000 0.000 0.000
Ni1 0.250 0.250 0.250
Pb1 0.500 0.500 0.500
Pb2 0.750 0.750 0.750

---

Entry from Alexandria via LeMat-Bulk: a geometry-optimized Sc2NiPb2 structure (PBE).

Calculated values
crystal system = tetragonal
calculated volume = 224 Å³/cell

a b c (Å): 7.000 7.000 4.568
angles (deg): 90.00 90.00 90.00
Fractional positions:
Sc1 0.163 0.337 0.000
Sc2 0.337 0.837 0.000
Sc3 0.663 0.163 0.000
Sc4 0.837 0.663 0.000
Ni1 0.000 0.000 0.500
Ni2 0.500 0.500 0.500
Pb1 0.154 0.654 0.500
Pb2 0.346 0.154 0.500
Pb3 0.654 0.846 0.500
Pb4 0.846 0.346 0.500

---

Entry from Alexandria via LeMat-Bulk: a geometry-optimized ScNi2Pb structure (PBE).

Calculated values
crystal system = orthorhombic
calculated volume = 69 Å³/cell

a b c (Å): 4.074 5.060 5.060
angles (deg): 41.72 90.00 90.00
Fractional positions:
Sc1 0.000 0.000 0.000
Ni1 0.000 0.710 0.710
Ni2 0.500 0.567 0.567
Pb1 0.500 0.287 0.287

---

Entry from Alexandria via LeMat-Bulk: a geometry-optimized ScNiPb2 structure (PBE).

Calculated values
crystal system = orthorhombic
calculated volume = 93 Å³/cell

a b c (Å): 3.345 3.387 8.204
angles (deg): 90.00 90.00 90.00
Fractional positions:
Sc1 0.000 0.000 0.000
Ni1 0.500 0.500 0.850
Pb1 0.000 0.000 0.622
Pb2 0.500 0.500 0.274

---

Entry from Alexandria via LeMat-Bulk: a geometry-optimized ScNi5Pb structure (PBE).

Calculated values
crystal system = orthorhombic
calculated volume = 398 Å³/cell

a b c (Å): 7.978 4.799 10.397
angles (deg): 90.00 90.00 90.00
Fractional positions:
Sc1 0.236 0.250 0.067
Sc2 0.264 0.750 0.567
Sc3 0.736 0.250 0.433
Sc4 0.764 0.750 0.933
Ni1 0.051 0.250 0.605
Ni2 0.070 0.000 0.813
Ni3 0.070 0.500 0.813
Ni4 0.079 0.750 0.017
Ni5 0.187 0.750 0.235
Ni6 0.313 0.250 0.735
Ni7 0.421 0.250 0.517
Ni8 0.430 0.000 0.313
Ni9 0.430 0.500 0.313
Ni10 0.449 0.750 0.105
Ni11 0.551 0.250 0.895
Ni12 0.570 0.000 0.687
Ni13 0.570 0.500 0.687
Ni14 0.579 0.750 0.483
Ni15 0.687 0.750 0.265
Ni16 0.813 0.250 0.765
Ni17 0.921 0.250 0.983
Ni18 0.930 0.000 0.187
Ni19 0.930 0.500 0.187
Ni20 0.949 0.750 0.395
Pb1 0.132 0.250 0.366
Pb2 0.368 0.750 0.866
Pb3 0.632 0.250 0.134
Pb4 0.868 0.750 0.634

---

Entry from Alexandria via LeMat-Bulk: a geometry-optimized ScNiPb2 structure (PBE).

Calculated values
crystal system = tetragonal
calculated volume = 86 Å³/cell

a b c (Å): 3.381 3.381 7.503
angles (deg): 90.00 90.00 90.00
Fractional positions:
Sc1 0.000 0.000 0.000
Ni1 0.000 0.000 0.500
Pb1 0.500 0.500 0.282
Pb2 0.500 0.500 0.718

---

Entry from Alexandria via LeMat-Bulk: a geometry-optimized ScNi2Pb2 structure (PBE).

Calculated values
crystal system = tetragonal
calculated volume = 102 Å³/cell

a b c (Å): 6.638 6.638 6.638
angles (deg): 143.58 143.58 52.46
Fractional positions:
Sc1 0.000 0.000 0.000
Ni1 0.250 0.750 0.500
Ni2 0.750 0.250 0.500
Pb1 0.377 0.377 0.000
Pb2 0.623 0.623 0.000

---

Entry from Alexandria via LeMat-Bulk: a geometry-optimized Sc2NiPb2 structure (PBE).

Calculated values
crystal system = tetragonal
calculated volume = 131 Å³/cell

a b c (Å): 8.278 8.278 8.278
angles (deg): 151.24 151.24 41.12
Fractional positions:
Sc1 0.094 0.094 0.000
Sc2 0.906 0.906 0.000
Ni1 0.500 0.500 0.000
Pb1 0.250 0.750 0.500
Pb2 0.750 0.250 0.500

---

Record order is preserved below.
Calculated formation energy: 0.161 -0.186 -0.225 -0.147 -0.183 0.027 0.114 0.430 eV per atom
Record order is preserved below.
Calculated total energy: -4.721 -5.358 -5.626 -5.030 -5.747 -4.856 -4.948 -4.742 eV per atom